Below is AgPd3Se at its PBEsol-relaxed geometry, with properties calculated at the meta-GGA SCAN level.

The calculation puts the electronic total energy at -30.139 eV/atom. The uncorrected formation energy comes out at -186 meV/atom. Its crystal system is cubic. The total moment is 0.0 μB per formula unit. The value obtained for the density of states at the Fermi level is 0.3558 states/eV/atom. The density is 10.63 Mg/m³.

The structure belongs to space group Pa-3 (No. 205); the cell edges are 8.584, 8.584 and 8.584 Å and the angles 90.00°, 90.00° and 90.00°. The inequivalent atoms are Ag at (0.094, 0.094, 0.094), Pd at (0.085, 0.723, 0.140) and Se at (0.121, 0.621, 0.879).